KTlHg4 | PBE-GGA | relaxed

Cell lengths 3.509, 5.236, 9.626 Å; angles 90.00, 90.00, 90.00 degrees
Space group Pmmm (No. 47)
One atom of each set of equivalent atoms:
K: 0.000 0.000 0.000 (multiplicity 1)
Tl: 0.000 0.500 0.500 (multiplicity 1)
Hg: 0.500 0.000 0.339 (multiplicity 2)
Hg: 0.500 0.500 0.172 (multiplicity 2)



K2Tl2Hg | PBE-GGA | relaxed

Cell lengths 8.074, 8.074, 5.829 Å; angles 90.00, 90.00, 90.00 degrees
Space group P4/mbm (No. 127)
One atom of each set of equivalent atoms:
K: 0.178 0.322 0.000 (multiplicity 4)
Tl: 0.134 0.634 0.500 (multiplicity 4)
Hg: 0.000 0.000 0.500 (multiplicity 2)



K2TlHg8 | PBE-GGA | relaxed

Cell lengths 5.088, 5.088, 13.581 Å; angles 90.00, 90.00, 90.00 degrees
Space group P4/mmm (No. 123)
One atom of each set of equivalent atoms:
K: 0.000 0.000 0.180 (multiplicity 2)
Tl: 0.000 0.000 0.500 (multiplicity 1)
Hg: 0.000 0.500 0.000 (multiplicity 2)
Hg: 0.000 0.500 0.360 (multiplicity 4)
Hg: 0.500 0.500 0.204 (multiplicity 2)



Values for excess energy over the best structure of this formula in the dataset, eV/atom, ordered as above
0.0157; 0.0723; 0.0117
Values for energy relative to the elements, eV/atom, ordered as above
-0.135; -0.079; -0.142